Material: Pm2AgAs3Pd4
Method: DFT, PBE
State: relaxed

Computed properties:
**V**: 196.3 Å³/cell
**Total DFT energy (no corrections)**: -54.69 eV/cell
**Density of states at the Fermi level**: 4.46 states/eV per cell
**Formation energy**: -0.76 eV per atom

Cell: 4.2628 4.2628 10.8043 Å, 90.00 90.00 90.00°
Last column: nearest neighbours and their distance in Å.
Sites, in units of the cell vectors:
Pm 0.0000 0.5000 0.7644  6 As 3.21-3.56, 8 Pd 3.28-3.32, 2 Ag 3.56
Pd 0.5000 0.5000 0.0000  4 As 2.57
Pd 0.0000 0.5000 0.3554  3 As 2.40-2.64, 2 Ag 2.64
Pm 0.5000 0.0000 0.2356  6 As 3.21-3.56, 8 Pd 3.28-3.32, 2 Ag 3.56
As 0.5000 0.0000 0.8670  5 Pd 2.40-2.57
Pd 0.5000 0.0000 0.6446  3 As 2.40-2.64, 2 Ag 2.64
As 0.0000 0.5000 0.1330  5 Pd 2.40-2.57
Ag 0.5000 0.5000 0.5000  4 Pd 2.64
As 0.0000 0.0000 0.5000  4 Pd 2.64
Pd 0.0000 0.0000 0.0000  4 As 2.57